# 1
# PBE-GGA SeBrN2Cl, relaxed
data_SeBrN2Cl
_chemical_formula_sum 'Se1 Br1 N2 Cl1'
_cell_length_a 3.969
_cell_length_b 3.969
_cell_length_c 8.204
_cell_angle_alpha 90.00
_cell_angle_beta 90.00
_cell_angle_gamma 90.00
_symmetry_space_group_name_H-M 'P 4/m m m'
_symmetry_Int_Tables_number 123
_symmetry_space_group_name_Hall '-P 4 2'
loop_
_atom_site_label
_atom_site_fract_x
_atom_site_fract_y
_atom_site_fract_z
_atom_site_occupancy
Se1 0.000 0.000 0.000 1
Br1 0.500 0.500 0.000 1
N1 0.000 0.500 0.500 1
Cl1 0.000 0.000 0.500 1
# Uncorrected formation energy   2.1227 eV/atom
# Distance to the lowest polymorph of the same formula   48.0 meV per atom
# E_tot   -13.04 eV per cell



# 2
# PBE-GGA AcAg2Cl6, relaxed
data_AcAg2Cl6
_chemical_formula_sum 'Ac2 Ag4 Cl12'
_cell_length_a 5.252
_cell_length_b 5.252
_cell_length_c 17.095
_cell_angle_alpha 90.00
_cell_angle_beta 90.00
_cell_angle_gamma 90.00
_symmetry_space_group_name_H-M 'I 4/m m m'
_symmetry_Int_Tables_number 139
_symmetry_space_group_name_Hall '-I 4 2'
loop_
_atom_site_label
_atom_site_fract_x
_atom_site_fract_y
_atom_site_fract_z
_atom_site_occupancy
Ac1 0.000 0.000 0.000 1
Ag1 0.000 0.500 0.250 1
Cl1 0.000 0.000 0.244 1
Cl2 0.000 0.500 0.093 1
# Uncorrected formation energy   -1.2644 eV/atom
# Distance to the lowest polymorph of the same formula   0.0 meV per atom
# E_tot   -64.54 eV per cell



# 3
# PBE-GGA ThGa5Pt7, relaxed
data_ThGa5Pt7
_chemical_formula_sum 'Th2 Ga10 Pt14'
_cell_length_a 5.438
_cell_length_b 9.140
_cell_length_c 8.771
_cell_angle_alpha 90.00
_cell_angle_beta 90.00
_cell_angle_gamma 90.00
_symmetry_space_group_name_H-M 'I m m 2'
_symmetry_Int_Tables_number 44
_symmetry_space_group_name_Hall 'I 2 -2'
loop_
_atom_site_label
_atom_site_fract_x
_atom_site_fract_y
_atom_site_fract_z
_atom_site_occupancy
Th1 0.000 0.000 0.000 1
Ga1 0.000 0.500 0.263 1
Ga2 0.244 0.258 0.736 1
Pt1 0.000 0.000 0.335 1
Pt2 0.000 0.000 0.672 1
Pt3 0.000 0.293 0.474 1
Pt4 0.000 0.337 0.003 1
Pt5 0.000 0.500 0.718 1
# Energy of formation from the pure elements   -667 meV/atom
# E_tot   -147.02 eV per cell



# 4
# PBE-GGA SrZnOs2, relaxed
data_SrZnOs2
_chemical_formula_sum 'Sr1 Zn1 Os2'
_cell_length_a 2.852
_cell_length_b 3.775
_cell_length_c 7.228
_cell_angle_alpha 90.00
_cell_angle_beta 90.00
_cell_angle_gamma 90.00
_symmetry_space_group_name_H-M 'P m m 2'
_symmetry_Int_Tables_number 25
_symmetry_space_group_name_Hall 'P 2 -2'
loop_
_atom_site_label
_atom_site_fract_x
_atom_site_fract_y
_atom_site_fract_z
_atom_site_occupancy
Sr1 0.000 0.000 0.000 1
Zn1 0.500 0.500 0.310 1
Os1 0.000 0.000 0.531 1
Os2 0.500 0.500 0.673 1
# Energy of formation from the pure elements   350 meV/atom
# E_tot   -24.01 eV per cell



# 5
# PBE-GGA TbTcC, relaxed
data_TbTcC
_chemical_formula_sum 'Tb2 Tc2 C2'
_cell_length_a 2.975
_cell_length_b 2.975
_cell_length_c 9.875
_cell_angle_alpha 90.00
_cell_angle_beta 90.00
_cell_angle_gamma 90.00
_symmetry_space_group_name_H-M 'I 4 m m'
_symmetry_Int_Tables_number 107
_symmetry_space_group_name_Hall 'I 4 -2'
loop_
_atom_site_label
_atom_site_fract_x
_atom_site_fract_y
_atom_site_fract_z
_atom_site_occupancy
Tb1 0.000 0.000 0.000 1
Tc1 0.000 0.000 0.278 1
C1 0.000 0.000 0.707 1
# Energy of formation from the pure elements   282 meV/atom
# Distance to the lowest polymorph of the same formula   488.0 meV per atom
# E_tot   -46.75 eV per cell



# 6
# PBE-GGA Sr4Zn2Hg, relaxed
data_Sr4Zn2Hg
_chemical_formula_sum 'Sr8 Zn4 Hg2'
_cell_length_a 7.906
_cell_length_b 7.906
_cell_length_c 7.869
_cell_angle_alpha 90.00
_cell_angle_beta 90.00
_cell_angle_gamma 90.00
_symmetry_space_group_name_H-M 'I 4/m m m'
_symmetry_Int_Tables_number 139
_symmetry_space_group_name_Hall '-I 4 2'
loop_
_atom_site_label
_atom_site_fract_x
_atom_site_fract_y
_atom_site_fract_z
_atom_site_occupancy
Sr1 0.250 0.250 0.250 1
Zn1 0.000 0.500 0.000 1
Hg1 0.000 0.000 0.000 1
# Energy of formation from the pure elements   -209 meV/atom
# E_tot   -22.08 eV per cell